No. 1
Material: TiBeAu2
Method: DFT, GGA-PBE
State: optimized geometry

Calculated values
As for the density of states at the Fermi level: 4.86 states/eV/cell. For the energy, the calculation gives -4.379 eV per atom. As for the energy of formation from the pure elements: 0.17 eV per atom.

Unit cell a=3.9883 b=3.9883 c=9.0717 alpha=77.30 beta=77.30 gamma=90.00
Fractional coordinates of all 8 atoms:
Be1 0.5000 0.5000 0.0000
Be2 0.2500 0.7500 0.5000
Au1 0.6058 0.1250 0.2500
Au2 0.1442 0.6250 0.2500
Au3 0.3750 0.3942 0.7500
Au4 0.8750 0.8558 0.7500
Ti1 0.0000 0.0000 0.0000
Ti2 0.7500 0.2500 0.5000

No. 2
Material: TiBe2Au2
Method: DFT, GGA-PBE
State: optimized geometry

Calculated values
The value obtained for the excess energy over the best structure of this formula in the dataset is 0 meV per atom. As for the density of states at the Fermi level: 7.34 states/eV/cell. For the energy, the calculation gives -4.564 eV per atom. As for the energy of formation from the pure elements: -0.18 eV per atom.

Unit cell a=7.0092 b=7.0092 c=2.7970 alpha=90.00 beta=90.00 gamma=90.00
Fractional coordinates of all 10 atoms:
Be1 0.3792 0.8792 0.0000
Be2 0.8792 0.6208 0.0000
Be3 0.6208 0.1208 0.0000
Be4 0.1208 0.3792 0.0000
Au1 0.1738 0.6738 0.5000
Au2 0.6738 0.8262 0.5000
Au3 0.8262 0.3262 0.5000
Au4 0.3262 0.1738 0.5000
Ti1 0.0000 0.0000 0.0000
Ti2 0.5000 0.5000 0.0000

No. 3
Material: TiBe2Au2
Method: DFT, GGA-PBE
State: optimized geometry

Calculated values
The value obtained for the excess energy over the best structure of this formula in the dataset is 56 meV per atom. As for the density of states at the Fermi level: 3.18 states/eV/cell. For the energy, the calculation gives -4.508 eV per atom. As for the energy of formation from the pure elements: -0.13 eV per atom.

Unit cell a=3.4539 b=3.4539 c=6.6226 alpha=74.88 beta=74.88 gamma=90.00
Site moments in Bohr magnetons follow the coordinates.
Fractional coordinates of all 5 atoms:
Be1 0.7500 0.2500 0.5000  0.00
Be2 0.2500 0.7500 0.5000  0.00
Au1 0.3845 0.3845 0.2310  0.03
Au2 0.6155 0.6155 0.7690  0.03
Ti1 0.0000 0.0000 0.0000  0.54

No. 4
Material: TiBe5Au
Method: DFT, GGA-PBE
State: optimized geometry

Calculated values
As for the density of states at the Fermi level: 13.02 states/eV/cell. For the energy, the calculation gives -4.506 eV per atom. As for the energy of formation from the pure elements: -0.25 eV per atom.

Unit cell a=4.2951 b=7.3727 c=9.2313 alpha=90.00 beta=90.00 gamma=90.00
Site moments in Bohr magnetons follow the coordinates.
Fractional coordinates of all 28 atoms:
Ti1 0.2500 0.2440 0.9367  0.11
Ti2 0.7500 0.2560 0.4367  0.11
Ti3 0.2500 0.7440 0.5633  0.11
Ti4 0.7500 0.7560 0.0633  0.11
Be1 0.2500 0.5720 0.0170  0.00
Be2 0.7500 0.9280 0.5170  0.00
Be3 0.2500 0.0720 0.4830  0.00
Be4 0.7500 0.4280 0.9830  0.00
Be5 0.7500 0.2993 0.7629  0.00
Be6 0.2500 0.2007 0.2629  0.00
Be7 0.7500 0.7993 0.7371  0.00
Be8 0.2500 0.7007 0.2371  0.00
Be9 0.2500 0.9602 0.1084  0.00
Be10 0.7500 0.5398 0.6084  0.00
Be11 0.2500 0.4602 0.3916  0.00
Be12 0.7500 0.0398 0.8916  0.00
Be13 0.9996 0.4397 0.1845  0.00
Be14 0.0004 0.0603 0.6845  0.00
Be15 0.5004 0.9397 0.3155  0.00
Be16 0.4996 0.5603 0.8155  0.00
Be17 0.0004 0.5603 0.8155  0.00
Be18 0.9996 0.9397 0.3155  0.00
Be19 0.4996 0.0603 0.6845  0.00
Be20 0.5004 0.4397 0.1845  0.00
Au1 0.2500 0.8577 0.8646  0.01
Au2 0.7500 0.6423 0.3646  0.01
Au3 0.2500 0.3577 0.6354  0.01
Au4 0.7500 0.1423 0.1354  0.01

No. 5
Material: TiBeAu2
Method: DFT, GGA-PBE
State: optimized geometry

Calculated values
As for the density of states at the Fermi level: 2.58 states/eV/cell. For the energy, the calculation gives -4.812 eV per atom. As for the energy of formation from the pure elements: -0.27 eV per atom.

Unit cell a=2.9834 b=2.9834 c=6.7975 alpha=90.00 beta=90.00 gamma=90.00
Site moments in Bohr magnetons follow the coordinates.
Fractional coordinates of all 4 atoms:
Be1 0.5000 0.5000 0.0000  0.00
Au1 0.0000 0.0000 0.7858  0.02
Au2 0.0000 0.0000 0.2142  0.02
Ti1 0.5000 0.5000 0.5000  0.66

No. 6
Material: Ti2BeAu
Method: DFT, GGA-PBE
State: optimized geometry

Calculated values
As for the density of states at the Fermi level: 3.86 states/eV/cell. For the energy, the calculation gives -5.892 eV per atom. As for the energy of formation from the pure elements: -0.19 eV per atom.

Unit cell a=4.0386 b=3.8538 c=3.8538 alpha=90.00 beta=90.00 gamma=90.00
Site moments in Bohr magnetons follow the coordinates.
Fractional coordinates of all 4 atoms:
Be1 0.5000 0.0000 0.0000  0.00
Au1 0.5000 0.5000 0.5000  0.02
Ti1 0.0000 0.0000 0.5000  0.27
Ti2 0.0000 0.5000 0.0000  0.27

No. 7
Material: BeTlAu3
Method: DFT, GGA-PBE
State: optimized geometry

Calculated values
The value obtained for the excess energy over the best structure of this formula in the dataset is 1215 meV per atom. As for the density of states at the Fermi level: 2.40 states/eV/cell. For the energy, the calculation gives -1.987 eV per atom. As for the energy of formation from the pure elements: 1.20 eV per atom.

Unit cell a=5.2983 b=5.2983 c=5.2983 alpha=90.00 beta=90.00 gamma=90.00
Fractional coordinates of all 5 atoms:
Be1 0.5000 0.5000 0.5000
Tl1 0.0000 0.0000 0.0000
Au1 0.0000 0.5000 0.0000
Au2 0.0000 0.0000 0.5000
Au3 0.5000 0.0000 0.0000

No. 8
Material: Be2TlAu
Method: DFT, GGA-PBE
State: optimized geometry

Calculated values
The value obtained for the excess energy over the best structure of this formula in the dataset is 212 meV per atom. As for the density of states at the Fermi level: 1.12 states/eV/cell. For the energy, the calculation gives -2.956 eV per atom. As for the energy of formation from the pure elements: 0.32 eV per atom.

Unit cell a=3.0998 b=3.0998 c=6.9145 alpha=90.00 beta=90.00 gamma=90.00
Fractional coordinates of all 4 atoms:
Be1 0.0000 0.0000 0.9190
Be2 0.0000 0.0000 0.5810
Tl1 0.5000 0.5000 0.2500
Au1 0.5000 0.5000 0.7500

No. 9
Material: Be2TlAu2
Method: DFT, GGA-PBE
State: optimized geometry

Calculated values
The value obtained for the excess energy over the best structure of this formula in the dataset is 176 meV per atom. As for the density of states at the Fermi level: 2.48 states/eV/cell. For the energy, the calculation gives -3.115 eV per atom. As for the energy of formation from the pure elements: 0.16 eV per atom.

Unit cell a=7.5956 b=7.5956 c=2.8435 alpha=90.00 beta=90.00 gamma=90.00
Fractional coordinates of all 10 atoms:
Be1 0.1360 0.6360 0.5000
Be2 0.6360 0.8640 0.5000
Be3 0.8640 0.3640 0.5000
Be4 0.3640 0.1360 0.5000
Tl1 0.0000 0.0000 0.0000
Tl2 0.5000 0.5000 0.0000
Au1 0.3554 0.8554 0.0000
Au2 0.8554 0.6446 0.0000
Au3 0.6446 0.1446 0.0000
Au4 0.1446 0.3554 0.0000

No. 10
Material: Be2TlAu
Method: DFT, GGA-PBE
State: optimized geometry

Calculated values
The value obtained for the excess energy over the best structure of this formula in the dataset is 2 meV per atom. As for the density of states at the Fermi level: 1.38 states/eV/cell. For the energy, the calculation gives -3.166 eV per atom. As for the energy of formation from the pure elements: 0.11 eV per atom.

Unit cell a=4.0714 b=4.0714 c=5.3121 alpha=89.95 beta=89.95 gamma=60.20
Fractional coordinates of all 4 atoms:
Be1 0.9666 0.9666 0.0008
Be2 0.6353 0.6353 0.9987
Tl1 0.5985 0.5985 0.4994
Au1 0.2997 0.2997 0.0011

No. 11
Material: Be2TlAu
Method: DFT, GGA-PBE
State: optimized geometry

Calculated values
The value obtained for the excess energy over the best structure of this formula in the dataset is 380 meV per atom. As for the density of states at the Fermi level: 1.12 states/eV/cell. For the energy, the calculation gives -2.788 eV per atom. As for the energy of formation from the pure elements: 0.49 eV per atom.

Unit cell a=3.1324 b=4.4033 c=4.4033 alpha=90.00 beta=90.00 gamma=90.00
Fractional coordinates of all 4 atoms:
Be1 0.0000 0.0000 0.0000
Be2 0.0000 0.5000 0.5000
Tl1 0.5000 0.5000 0.0000
Au1 0.5000 0.0000 0.5000

No. 12
Material: BeTlAu3
Method: DFT, GGA-PBE
State: optimized geometry

Calculated values
The value obtained for the excess energy over the best structure of this formula in the dataset is 0 meV per atom. As for the density of states at the Fermi level: 2.41 states/eV/cell. For the energy, the calculation gives -3.202 eV per atom. As for the energy of formation from the pure elements: -0.02 eV per atom.

Unit cell a=6.5426 b=6.5426 c=5.0783 alpha=89.63 beta=89.63 gamma=62.56
Fractional coordinates of all 10 atoms:
Be1 0.9015 0.9015 0.8388
Be2 0.0985 0.0985 0.1612
Tl1 0.3579 0.3579 0.4866
Tl2 0.6421 0.6421 0.5134
Au1 0.0000 0.5000 0.0000
Au2 0.1088 0.1088 0.6287
Au3 0.8912 0.8912 0.3713
Au4 0.5000 0.0000 0.0000
Au5 0.7091 0.2909 0.0000
Au6 0.2909 0.7091 0.0000